Arrangement a

Material: TmZn3Pd3
Method: DFT, PBE
State: optimized geometry

Unit cell a=6.759 b=6.759 c=6.759 alpha=90.00 beta=90.00 gamma=90.00
Fractional coordinates of all 14 atoms:
Zn: 0.500 0.000 0.750
Zn: 0.750 0.500 0.000
Zn: 0.500 0.000 0.250
Zn: 0.000 0.250 0.500
Zn: 0.000 0.750 0.500
Zn: 0.250 0.500 0.000
Tm: 0.500 0.500 0.500
Tm: 0.000 0.000 0.000
Pd: 0.500 0.250 0.000
Pd: 0.500 0.750 0.000
Pd: 0.000 0.500 0.250
Pd: 0.750 0.000 0.500
Pd: 0.000 0.500 0.750
Pd: 0.250 0.000 0.500

- DOS at the Fermi energy (states/eV/cell) = 6.10
- SG = Pm-3n (223)
- calculated volume (Å³/cell) = 309
- total moment (μB per formula unit) = 0.00

---

Arrangement b

Material: TmZn3Pd3
Method: DFT, PBE
State: optimized geometry

Unit cell a=6.692 b=6.692 c=7.343 alpha=62.89 beta=62.89 gamma=60.00
Fractional coordinates of all 14 atoms:
Pd: 0.304 0.070 0.808
Pd: 0.182 0.696 0.192
Pd: 0.070 0.818 0.808
Pd: 0.696 0.930 0.192
Pd: 0.818 0.304 0.808
Pd: 0.930 0.182 0.192
Zn: 0.089 0.561 0.611
Zn: 0.262 0.911 0.389
Zn: 0.439 0.262 0.389
Zn: 0.738 0.089 0.611
Zn: 0.561 0.738 0.611
Zn: 0.911 0.439 0.389
Tm: 0.340 0.340 0.981
Tm: 0.660 0.660 0.019

- DOS at the Fermi energy (states/eV/cell) = 3.94
- SG = R-3 (148)
- calculated volume (Å³/cell) = 242
- total moment (μB per formula unit) = 0.00

---

The structure with the greatest stability is arrangement b.

---

Arrangement a

Material: U3Pd
Method: DFT, PBE
State: optimized geometry

Unit cell a=2.849 b=5.273 c=6.056 alpha=115.81 beta=103.60 gamma=90.00
Each line ends with the local moment (μB).
Fractional coordinates of all 4 atoms:
U: 0.500 0.565 0.000  0.77
U: 0.730 0.993 0.461  0.91
U: 0.270 0.532 0.539  0.91
Pd: 0.000 0.076 0.000  0.07

- DOS at the Fermi energy (states/eV/cell) = 9.18
- SG = Imm2 (44)
- calculated volume (Å³/cell) = 79
- total moment (μB per formula unit) = 2.74

---

Arrangement b

Material: U3Pd
Method: DFT, PBE
State: optimized geometry

Unit cell a=5.126 b=3.062 c=5.128 alpha=90.00 beta=90.00 gamma=90.00
Each line ends with the local moment (μB).
Fractional coordinates of all 4 atoms:
U: 0.000 0.000 0.917  1.14
U: 0.500 0.000 0.417  1.14
U: 0.500 0.500 0.917  0.47
Pd: 0.000 0.500 0.417  0.02

- DOS at the Fermi energy (states/eV/cell) = 10.86
- SG = P4/mmm (123)
- calculated volume (Å³/cell) = 81
- total moment (μB per formula unit) = 2.87

---

The structure with the greatest stability is arrangement b.